# 1
DFT (GGA-PBE) results for a geometry-optimized HoThScOs structure.

```
data_HoThScOs
_cell_length_a 7.1845
_cell_length_b 7.1845
_cell_length_c 7.1845
_cell_angle_alpha 90.00
_cell_angle_beta 90.00
_cell_angle_gamma 90.00
_symmetry_space_group_name_H-M 'P 1'
_symmetry_Int_Tables_number 1
_symmetry_space_group_name_Hall 'P 1'
loop_
_atom_site_label
_atom_site_type_symbol
_atom_site_fract_x
_atom_site_fract_y
_atom_site_fract_z
Ho1 Ho 0.0000 0.0000 0.0000
Ho2 Ho 0.0000 0.5000 0.5000
Ho3 Ho 0.5000 0.0000 0.5000
Ho4 Ho 0.5000 0.5000 0.0000
Th1 Th 0.0000 0.0000 0.5000
Th2 Th 0.0000 0.5000 0.0000
Th3 Th 0.5000 0.0000 0.0000
Th4 Th 0.5000 0.5000 0.5000
Sc1 Sc 0.2500 0.2500 0.7500
Sc2 Sc 0.2500 0.7500 0.2500
Sc3 Sc 0.7500 0.2500 0.2500
Sc4 Sc 0.7500 0.7500 0.7500
Os1 Os 0.2500 0.2500 0.2500
Os2 Os 0.2500 0.7500 0.7500
Os3 Os 0.7500 0.2500 0.7500
Os4 Os 0.7500 0.7500 0.2500
```

Summary:
**ΔE_f**: -20 meV per atom
**Magnetization**: 0.0 μB per formula unit
**Space group**: F-43m (216)
**Crystal system**: cubic



# 2
DFT (GGA-PBE) results for a geometry-optimized HoScTlOs structure.

```
data_HoScTlOs
_cell_length_a 3.3122
_cell_length_b 3.3122
_cell_length_c 8.0193
_cell_angle_alpha 90.00
_cell_angle_beta 90.00
_cell_angle_gamma 90.00
_symmetry_space_group_name_H-M 'P 1'
_symmetry_Int_Tables_number 1
_symmetry_space_group_name_Hall 'P 1'
loop_
_atom_site_label
_atom_site_type_symbol
_atom_site_fract_x
_atom_site_fract_y
_atom_site_fract_z
Ho1 Ho 0.0000 0.0000 0.0000
Sc1 Sc 0.0000 0.0000 0.5992
Tl1 Tl 0.5000 0.5000 0.3166
Os1 Os 0.5000 0.5000 0.7826
```

Summary:
**ΔE_f**: -374 meV per atom
**Magnetization**: 0.0 μB per formula unit
**Space group**: P4mm (99)
**Crystal system**: tetragonal



# 3
DFT (GGA-PBE) results for a geometry-optimized HoScTlOs structure.

```
data_HoScTlOs
_cell_length_a 6.9614
_cell_length_b 6.9614
_cell_length_c 6.9614
_cell_angle_alpha 90.00
_cell_angle_beta 90.00
_cell_angle_gamma 90.00
_symmetry_space_group_name_H-M 'P 1'
_symmetry_Int_Tables_number 1
_symmetry_space_group_name_Hall 'P 1'
loop_
_atom_site_label
_atom_site_type_symbol
_atom_site_fract_x
_atom_site_fract_y
_atom_site_fract_z
Ho1 Ho 0.0000 0.0000 0.0000
Ho2 Ho 0.0000 0.5000 0.5000
Ho3 Ho 0.5000 0.0000 0.5000
Ho4 Ho 0.5000 0.5000 0.0000
Sc1 Sc 0.0000 0.0000 0.5000
Sc2 Sc 0.0000 0.5000 0.0000
Sc3 Sc 0.5000 0.0000 0.0000
Sc4 Sc 0.5000 0.5000 0.5000
Tl1 Tl 0.2500 0.2500 0.7500
Tl2 Tl 0.2500 0.7500 0.2500
Tl3 Tl 0.7500 0.2500 0.2500
Tl4 Tl 0.7500 0.7500 0.7500
Os1 Os 0.2500 0.2500 0.2500
Os2 Os 0.2500 0.7500 0.7500
Os3 Os 0.7500 0.2500 0.7500
Os4 Os 0.7500 0.7500 0.2500
```

Summary:
**ΔE_f**: -171 meV per atom
**Magnetization**: 0.0 μB per formula unit
**Space group**: F-43m (216)
**Crystal system**: cubic



# 4
DFT (GGA-PBE) results for a geometry-optimized HoTmScOs structure.

```
data_HoTmScOs
_cell_length_a 7.0502
_cell_length_b 7.0502
_cell_length_c 7.0502
_cell_angle_alpha 90.00
_cell_angle_beta 90.00
_cell_angle_gamma 90.00
_symmetry_space_group_name_H-M 'P 1'
_symmetry_Int_Tables_number 1
_symmetry_space_group_name_Hall 'P 1'
loop_
_atom_site_label
_atom_site_type_symbol
_atom_site_fract_x
_atom_site_fract_y
_atom_site_fract_z
Ho1 Ho 0.0000 0.0000 0.0000
Ho2 Ho 0.0000 0.5000 0.5000
Ho3 Ho 0.5000 0.0000 0.5000
Ho4 Ho 0.5000 0.5000 0.0000
Tm1 Tm 0.0000 0.0000 0.5000
Tm2 Tm 0.0000 0.5000 0.0000
Tm3 Tm 0.5000 0.0000 0.0000
Tm4 Tm 0.5000 0.5000 0.5000
Sc1 Sc 0.2500 0.2500 0.7500
Sc2 Sc 0.2500 0.7500 0.2500
Sc3 Sc 0.7500 0.2500 0.2500
Sc4 Sc 0.7500 0.7500 0.7500
Os1 Os 0.2500 0.2500 0.2500
Os2 Os 0.2500 0.7500 0.7500
Os3 Os 0.7500 0.2500 0.7500
Os4 Os 0.7500 0.7500 0.2500
```

Summary:
**ΔE_f**: -34 meV per atom
**Magnetization**: 0.0 μB per formula unit
**Space group**: F-43m (216)
**Crystal system**: cubic



# 5
DFT (GGA-PBE) results for a geometry-optimized YHoScOs structure.

```
data_YHoScOs
_cell_length_a 7.1037
_cell_length_b 7.1037
_cell_length_c 7.1037
_cell_angle_alpha 90.00
_cell_angle_beta 90.00
_cell_angle_gamma 90.00
_symmetry_space_group_name_H-M 'P 1'
_symmetry_Int_Tables_number 1
_symmetry_space_group_name_Hall 'P 1'
loop_
_atom_site_label
_atom_site_type_symbol
_atom_site_fract_x
_atom_site_fract_y
_atom_site_fract_z
Y1 Y 0.0000 0.0000 0.0000
Y2 Y 0.0000 0.5000 0.5000
Y3 Y 0.5000 0.0000 0.5000
Y4 Y 0.5000 0.5000 0.0000
Ho1 Ho 0.0000 0.0000 0.5000
Ho2 Ho 0.0000 0.5000 0.0000
Ho3 Ho 0.5000 0.0000 0.0000
Ho4 Ho 0.5000 0.5000 0.5000
Sc1 Sc 0.2500 0.2500 0.2500
Sc2 Sc 0.2500 0.7500 0.7500
Sc3 Sc 0.7500 0.2500 0.7500
Sc4 Sc 0.7500 0.7500 0.2500
Os1 Os 0.2500 0.2500 0.7500
Os2 Os 0.2500 0.7500 0.2500
Os3 Os 0.7500 0.2500 0.2500
Os4 Os 0.7500 0.7500 0.7500
```

Summary:
**ΔE_f**: 10 meV per atom
**Magnetization**: 0.0 μB per formula unit
**Space group**: F-43m (216)
**Crystal system**: cubic



# 6
DFT (GGA-PBE) results for a geometry-optimized HoScZnOs structure.

```
data_HoScZnOs
_cell_length_a 6.7298
_cell_length_b 6.7298
_cell_length_c 6.7298
_cell_angle_alpha 90.00
_cell_angle_beta 90.00
_cell_angle_gamma 90.00
_symmetry_space_group_name_H-M 'P 1'
_symmetry_Int_Tables_number 1
_symmetry_space_group_name_Hall 'P 1'
loop_
_atom_site_label
_atom_site_type_symbol
_atom_site_fract_x
_atom_site_fract_y
_atom_site_fract_z
Ho1 Ho 0.0000 0.0000 0.0000
Ho2 Ho 0.0000 0.5000 0.5000
Ho3 Ho 0.5000 0.0000 0.5000
Ho4 Ho 0.5000 0.5000 0.0000
Sc1 Sc 0.0000 0.0000 0.5000
Sc2 Sc 0.0000 0.5000 0.0000
Sc3 Sc 0.5000 0.0000 0.0000
Sc4 Sc 0.5000 0.5000 0.5000
Zn1 Zn 0.2500 0.2500 0.7500
Zn2 Zn 0.2500 0.7500 0.2500
Zn3 Zn 0.7500 0.2500 0.2500
Zn4 Zn 0.7500 0.7500 0.7500
Os1 Os 0.2500 0.2500 0.2500
Os2 Os 0.2500 0.7500 0.7500
Os3 Os 0.7500 0.2500 0.7500
Os4 Os 0.7500 0.7500 0.2500
```

Summary:
**ΔE_f**: -337 meV per atom
**Magnetization**: 0.0 μB per formula unit
**Space group**: F-43m (216)
**Crystal system**: cubic



# 7
DFT (GGA-PBE) results for a geometry-optimized Ho6OsSe5 structure.

```
data_Ho6OsSe5
_cell_length_a 7.1408
_cell_length_b 7.1408
_cell_length_c 7.0975
_cell_angle_alpha 99.65
_cell_angle_beta 99.65
_cell_angle_gamma 120.02
_symmetry_space_group_name_H-M 'P 1'
_symmetry_Int_Tables_number 1
_symmetry_space_group_name_Hall 'P 1'
loop_
_atom_site_label
_atom_site_type_symbol
_atom_site_fract_x
_atom_site_fract_y
_atom_site_fract_z
Ho1 Ho 0.0763 0.3863 0.7330
Ho2 Ho 0.2286 0.2286 0.2642
Ho3 Ho 0.3863 0.0763 0.7330
Ho4 Ho 0.6137 0.9237 0.2670
Ho5 Ho 0.7714 0.7714 0.7358
Ho6 Ho 0.9237 0.6137 0.2670
Os1 Os 0.0000 0.0000 0.5000
Se1 Se 0.1758 0.8242 0.0000
Se2 Se 0.3352 0.6648 0.5000
Se3 Se 0.5000 0.5000 0.0000
Se4 Se 0.6648 0.3352 0.5000
Se5 Se 0.8242 0.1758 0.0000
```

Summary:
**Magnetization**: 0.0 μB per formula unit
**Raw formation energy**: -1494 meV/atom
**Space group**: C2/m (12)
**Crystal system**: monoclinic



# 8
DFT (GGA-PBE) results for a geometry-optimized Ho2OsSe structure.

```
data_Ho2OsSe
_cell_length_a 3.4437
_cell_length_b 3.4437
_cell_length_c 7.1876
_cell_angle_alpha 90.00
_cell_angle_beta 90.00
_cell_angle_gamma 90.00
_symmetry_space_group_name_H-M 'P 1'
_symmetry_Int_Tables_number 1
_symmetry_space_group_name_Hall 'P 1'
loop_
_atom_site_label
_atom_site_type_symbol
_atom_site_fract_x
_atom_site_fract_y
_atom_site_fract_z
Ho1 Ho 0.0000 0.0000 0.2326
Ho2 Ho 0.0000 0.0000 0.7674
Os1 Os 0.5000 0.5000 0.0000
Se1 Se 0.5000 0.5000 0.5000
```

Summary:
**Magnetization**: 0.0 μB per formula unit
**Raw formation energy**: -864 meV/atom
**Space group**: P4/mmm (123)
**Crystal system**: tetragonal



# 9
DFT (GGA-PBE) results for a geometry-optimized Ho2Si3Os structure.

```
data_Ho2Si3Os
_cell_length_a 10.2043
_cell_length_b 4.2178
_cell_length_c 6.8735
_cell_angle_alpha 90.00
_cell_angle_beta 130.26
_cell_angle_gamma 90.00
_symmetry_space_group_name_H-M 'P 1'
_symmetry_Int_Tables_number 1
_symmetry_space_group_name_Hall 'P 1'
loop_
_atom_site_label
_atom_site_type_symbol
_atom_site_fract_x
_atom_site_fract_y
_atom_site_fract_z
Ho1 Ho 0.0000 0.0000 0.0000
Ho2 Ho 0.1178 0.0000 0.6055
Ho3 Ho 0.5000 0.5000 0.0000
Ho4 Ho 0.6178 0.5000 0.6055
Si1 Si 0.2524 0.5000 0.4221
Si2 Si 0.3721 0.0000 0.2104
Si3 Si 0.4426 0.0000 0.6489
Si4 Si 0.7524 0.0000 0.4221
Si5 Si 0.8721 0.5000 0.2104
Si6 Si 0.9426 0.5000 0.6489
Os1 Os 0.2312 0.5000 0.0434
Os2 Os 0.7312 0.0000 0.0434
```

Summary:
**Magnetization**: 0.0 μB per formula unit
**Raw formation energy**: -631 meV/atom
**Space group**: Cm (8)
**Crystal system**: monoclinic



# 10
DFT (GGA-PBE) results for a geometry-optimized HoSi4Os4 structure.

```
data_HoSi4Os4
_cell_length_a 5.9553
_cell_length_b 5.9553
_cell_length_c 8.0127
_cell_angle_alpha 90.00
_cell_angle_beta 90.00
_cell_angle_gamma 90.00
_symmetry_space_group_name_H-M 'P 1'
_symmetry_Int_Tables_number 1
_symmetry_space_group_name_Hall 'P 1'
loop_
_atom_site_label
_atom_site_type_symbol
_atom_site_fract_x
_atom_site_fract_y
_atom_site_fract_z
Ho1 Ho 0.2500 0.7500 0.2500
Ho2 Ho 0.7500 0.2500 0.7500
Si1 Si 0.0526 0.2500 0.0713
Si2 Si 0.2500 0.0526 0.5713
Si3 Si 0.2500 0.4474 0.5713
Si4 Si 0.4474 0.2500 0.0713
Si5 Si 0.5526 0.7500 0.9287
Si6 Si 0.7500 0.5526 0.4287
Si7 Si 0.7500 0.9474 0.4287
Si8 Si 0.9474 0.7500 0.9287
Os1 Os 0.0028 0.2500 0.3723
Os2 Os 0.2500 0.0028 0.8723
Os3 Os 0.2500 0.4972 0.8723
Os4 Os 0.4972 0.2500 0.3723
Os5 Os 0.5028 0.7500 0.6277
Os6 Os 0.7500 0.5028 0.1277
Os7 Os 0.7500 0.9972 0.1277
Os8 Os 0.9972 0.7500 0.6277
```

Summary:
**Magnetization**: 0.0 μB per formula unit
**Raw formation energy**: -360 meV/atom
**Space group**: P4_2/nmc (137)
**Crystal system**: tetragonal



# 11
DFT (GGA-PBE) results for a geometry-optimized HoSi3Os3 structure.

```
data_HoSi3Os3
_cell_length_a 6.5170
_cell_length_b 6.5170
_cell_length_c 6.5170
_cell_angle_alpha 90.00
_cell_angle_beta 90.00
_cell_angle_gamma 90.00
_symmetry_space_group_name_H-M 'P 1'
_symmetry_Int_Tables_number 1
_symmetry_space_group_name_Hall 'P 1'
loop_
_atom_site_label
_atom_site_type_symbol
_atom_site_fract_x
_atom_site_fract_y
_atom_site_fract_z
Ho1 Ho 0.0000 0.0000 0.0000
Ho2 Ho 0.5000 0.5000 0.5000
Si1 Si 0.0000 0.2500 0.5000
Si2 Si 0.0000 0.7500 0.5000
Si3 Si 0.2500 0.5000 0.0000
Si4 Si 0.5000 0.0000 0.2500
Si5 Si 0.5000 0.0000 0.7500
Si6 Si 0.7500 0.5000 0.0000
Os1 Os 0.0000 0.5000 0.2500
Os2 Os 0.0000 0.5000 0.7500
Os3 Os 0.2500 0.0000 0.5000
Os4 Os 0.5000 0.2500 0.0000
Os5 Os 0.5000 0.7500 0.0000
Os6 Os 0.7500 0.0000 0.5000
```

Summary:
**Magnetization**: 0.0 μB per formula unit
**Raw formation energy**: 114 meV/atom
**Space group**: Pm-3n (223)
**Crystal system**: cubic